Record 1
# Ho8CS3

An optimized crystal structure of Ho8CS3 (PBE, the Alexandria database).

**Formation energy from raw total energies**: -1.056 eV per atom
**Calculated volume**: 889 Å³ per cell
**E_tot**: -212.71 eV/cell

Cell and atoms, written as CIF:
```
data_Ho8CS3
_cell_length_a 7.5166
_cell_length_b 7.5166
_cell_length_c 18.1720
_cell_angle_alpha 90.00
_cell_angle_beta 90.00
_cell_angle_gamma 120.00
_space_group_name_H-M_alt 'R -3 m'
_space_group_IT_number 166
_space_group_name_Hall '-R 3 2"'
loop_
_atom_site_label
_atom_site_fract_x
_atom_site_fract_y
_atom_site_fract_z
Ho1 0.0000 0.0000 0.2473
Ho2 0.0304 0.5152 0.7489
C1 0.0000 0.0000 0.0000
S1 0.0000 0.5000 0.0000
```



Record 2
# BaZr2Cd

An optimized crystal structure of BaZr2Cd (PBE, the Alexandria database).

**Calculated volume**: 220 Å³ per cell
**E_tot**: -36.41 eV/cell

Cell and atoms, written as CIF:
```
data_BaZr2Cd
_cell_length_a 6.582
_cell_length_b 11.724
_cell_length_c 3.256
_cell_angle_alpha 90.00
_cell_angle_beta 118.67
_cell_angle_gamma 90.00
_space_group_name_H-M_alt 'C 1 2/m 1'
_space_group_IT_number 12
_space_group_name_Hall '-C 2y'
loop_
_atom_site_label
_atom_site_fract_x
_atom_site_fract_y
_atom_site_fract_z
Ba1 0.000 0.000 0.000
Zr1 0.250 0.250 0.500
Cd1 0.000 0.500 0.000
```



Record 3
# BaTmGaSe4

An optimized crystal structure of BaTmGaSe4 (PBE, the Alexandria database).

**Formation energy from raw total energies**: -1.437 eV per atom
**Calculated volume**: 400 Å³ per cell
**E_tot**: -66.83 eV/cell

Cell and atoms, written as CIF:
```
data_BaTmGaSe4
_cell_length_a 6.782
_cell_length_b 7.069
_cell_length_c 8.740
_cell_angle_alpha 90.00
_cell_angle_beta 107.48
_cell_angle_gamma 90.00
_space_group_name_H-M_alt 'P 1 21/m 1'
_space_group_IT_number 11
_space_group_name_Hall '-P 2yb'
loop_
_atom_site_label
_atom_site_fract_x
_atom_site_fract_y
_atom_site_fract_z
Ba1 0.241 0.250 0.057
Tm1 0.225 0.250 0.555
Ga1 0.230 0.750 0.329
Se1 0.015 0.510 0.715
Se2 0.430 0.750 0.144
Se3 0.460 0.750 0.593
```



Record 4
# InOsCl2

An optimized crystal structure of InOsCl2 (PBE, the Alexandria database).

**Formation energy from raw total energies**: 0.313 eV per atom
**Calculated volume**: 332 Å³ per cell
**E_tot**: -49.23 eV/cell

Cell and atoms, written as CIF:
```
data_InOsCl2
_cell_length_a 3.5920
_cell_length_b 3.5920
_cell_length_c 29.7030
_cell_angle_alpha 90.00
_cell_angle_beta 90.00
_cell_angle_gamma 120.00
_space_group_name_H-M_alt 'R -3 m'
_space_group_IT_number 166
_space_group_name_Hall '-R 3 2"'
loop_
_atom_site_label
_atom_site_fract_x
_atom_site_fract_y
_atom_site_fract_z
In1 0.0000 0.0000 0.0000
Os1 0.0000 0.0000 0.5000
Cl1 0.0000 0.0000 0.1261
```



Record 5
# MnMo2

An optimized crystal structure of MnMo2 (PBE, the Alexandria database).

**Calculated volume**: 174 Å³ per cell
**E_tot**: -121.69 eV/cell

Cell and atoms, written as CIF:
```
data_MnMo2
_cell_length_a 5.924
_cell_length_b 5.924
_cell_length_c 4.945
_cell_angle_alpha 90.00
_cell_angle_beta 90.00
_cell_angle_gamma 90.00
_space_group_name_H-M_alt 'I 4/m c m'
_space_group_IT_number 140
_space_group_name_Hall '-I 4 2c'
loop_
_atom_site_label
_atom_site_fract_x
_atom_site_fract_y
_atom_site_fract_z
Mn1 0.000 0.000 0.250
Mo1 0.158 0.342 0.000
```



Record 6
# Sr2LiRe

An optimized crystal structure of Sr2LiRe (PBE, the Alexandria database).

**Calculated volume**: 230 Å³ per cell
**E_tot**: -27.87 eV/cell

Cell and atoms, written as CIF:
```
data_Sr2LiRe
_cell_length_a 9.242
_cell_length_b 3.105
_cell_length_c 8.031
_cell_angle_alpha 90.00
_cell_angle_beta 93.71
_cell_angle_gamma 90.00
_space_group_name_H-M_alt 'C 1 2/m 1'
_space_group_IT_number 12
_space_group_name_Hall '-C 2y'
loop_
_atom_site_label
_atom_site_fract_x
_atom_site_fract_y
_atom_site_fract_z
Sr1 0.239 0.000 0.217
Li1 0.000 0.000 0.500
Re1 0.000 0.500 0.000
```



Record 7
# SiTePb2

An optimized crystal structure of SiTePb2 (PBE, the Alexandria database).

**Formation energy from raw total energies**: 0.220 eV per atom
**Calculated volume**: 228 Å³ per cell
**E_tot**: -30.20 eV/cell

Cell and atoms, written as CIF:
```
data_SiTePb2
_cell_length_a 13.398
_cell_length_b 3.744
_cell_length_c 4.853
_cell_angle_alpha 90.00
_cell_angle_beta 110.32
_cell_angle_gamma 90.00
_space_group_name_H-M_alt 'C 1 2/m 1'
_space_group_IT_number 12
_space_group_name_Hall '-C 2y'
loop_
_atom_site_label
_atom_site_fract_x
_atom_site_fract_y
_atom_site_fract_z
Si1 0.000 0.000 0.000
Te1 0.000 0.500 0.500
Pb1 0.185 0.500 0.187
```



Record 8
# Tl6Sb3Pb

An optimized crystal structure of Tl6Sb3Pb (PBE, the Alexandria database).

**Formation energy from raw total energies**: 0.035 eV per atom
**Calculated volume**: 685 Å³ per cell
**E_tot**: -59.85 eV/cell

Cell and atoms, written as CIF:
```
data_Tl6Sb3Pb
_cell_length_a 11.140
_cell_length_b 5.071
_cell_length_c 13.305
_cell_angle_alpha 90.00
_cell_angle_beta 114.23
_cell_angle_gamma 90.00
_space_group_name_H-M_alt 'P 1 21/m 1'
_space_group_IT_number 11
_space_group_name_Hall '-P 2yb'
loop_
_atom_site_label
_atom_site_fract_x
_atom_site_fract_y
_atom_site_fract_z
Tl1 0.064 0.250 0.429
Tl2 0.081 0.250 0.927
Tl3 0.243 0.750 0.822
Tl4 0.250 0.750 0.342
Tl5 0.270 0.750 0.093
Tl6 0.417 0.250 0.549
Sb1 0.107 0.250 0.189
Sb2 0.246 0.750 0.582
Sb3 0.423 0.250 0.005
Pb1 0.444 0.250 0.252
```



Record 9
# Cs3Rb3Na4

An optimized crystal structure of Cs3Rb3Na4 (PBE, the Alexandria database).

**Calculated volume**: 1481 Å³ per cell
**E_tot**: -20.89 eV/cell

Cell and atoms, written as CIF:
```
data_Cs3Rb3Na4
_cell_length_a 5.750
_cell_length_b 16.017
_cell_length_c 16.083
_cell_angle_alpha 90.00
_cell_angle_beta 90.00
_cell_angle_gamma 90.00
_space_group_name_H-M_alt 'A m m 2'
_space_group_IT_number 38
_space_group_name_Hall 'A 2 -2'
loop_
_atom_site_label
_atom_site_fract_x
_atom_site_fract_y
_atom_site_fract_z
Cs1 0.000 0.000 0.000
Cs2 0.500 0.248 0.582
Rb1 0.000 0.000 0.663
Rb2 0.000 0.168 0.333
Na1 0.500 0.000 0.222
Na2 0.500 0.000 0.452
Na3 0.500 0.120 0.827
```



Record 10
# MnCuOs3

An optimized crystal structure of MnCuOs3 (PBE, the Alexandria database).

**Calculated volume**: 85 Å³ per cell
**E_tot**: -37.80 eV/cell

Cell and atoms, written as CIF:
```
data_MnCuOs3
_cell_length_a 4.403
_cell_length_b 4.403
_cell_length_c 4.403
_cell_angle_alpha 90.00
_cell_angle_beta 90.00
_cell_angle_gamma 90.00
_space_group_name_H-M_alt 'P m -3 m'
_space_group_IT_number 221
_space_group_name_Hall '-P 4 2 3'
loop_
_atom_site_label
_atom_site_fract_x
_atom_site_fract_y
_atom_site_fract_z
Mn1 0.000 0.000 0.000
Cu1 0.500 0.500 0.500
Os1 0.000 0.000 0.500
```



Record 11
# Nd6ErSe8

An optimized crystal structure of Nd6ErSe8 (PBE, the Alexandria database).

**Formation energy from raw total energies**: -1.871 eV per atom
**Calculated volume**: 1687 Å³ per cell
**E_tot**: -356.42 eV/cell

Cell and atoms, written as CIF:
```
data_Nd6ErSe8
_cell_length_a 11.905
_cell_length_b 11.905
_cell_length_c 11.905
_cell_angle_alpha 90.00
_cell_angle_beta 90.00
_cell_angle_gamma 90.00
_space_group_name_H-M_alt 'F m -3 m'
_space_group_IT_number 225
_space_group_name_Hall '-F 4 2 3'
loop_
_atom_site_label
_atom_site_fract_x
_atom_site_fract_y
_atom_site_fract_z
Nd1 0.000 0.250 0.250
Er1 0.000 0.000 0.000
Se1 0.000 0.000 0.244
Se2 0.250 0.250 0.250
```



Record 12
# HgHPb2

An optimized crystal structure of HgHPb2 (PBE, the Alexandria database).

**Calculated volume**: 374 Å³ per cell
**E_tot**: -37.90 eV/cell

Cell and atoms, written as CIF:
```
data_HgHPb2
_cell_length_a 7.206
_cell_length_b 7.206
_cell_length_c 7.206
_cell_angle_alpha 90.00
_cell_angle_beta 90.00
_cell_angle_gamma 90.00
_space_group_name_H-M_alt 'F m -3 m'
_space_group_IT_number 225
_space_group_name_Hall '-F 4 2 3'
loop_
_atom_site_label
_atom_site_fract_x
_atom_site_fract_y
_atom_site_fract_z
Hg1 0.000 0.000 0.000
H1 0.000 0.000 0.500
Pb1 0.250 0.250 0.250
```



Record 13
# MgSb2Pd8

An optimized crystal structure of MgSb2Pd8 (PBE, the Alexandria database).

**Formation energy from raw total energies**: -0.362 eV per atom
**Calculated volume**: 384 Å³ per cell
**E_tot**: -110.72 eV/cell

Cell and atoms, written as CIF:
```
data_MgSb2Pd8
_cell_length_a 7.454
_cell_length_b 12.029
_cell_length_c 4.649
_cell_angle_alpha 90.00
_cell_angle_beta 112.76
_cell_angle_gamma 90.00
_space_group_name_H-M_alt 'C 1 2/m 1'
_space_group_IT_number 12
_space_group_name_Hall '-C 2y'
loop_
_atom_site_label
_atom_site_fract_x
_atom_site_fract_y
_atom_site_fract_z
Mg1 0.000 0.000 0.000
Sb1 0.000 0.314 0.500
Pd1 0.000 0.219 0.000
Pd2 0.114 0.500 0.824
Pd3 0.201 0.116 0.612
```